# CuMoAuN

A geometry-optimized CuMoAuN structure (GGA-PBE, Alexandria via LeMat-Bulk).

Calculated values
Offset from the most stable computed form: 18 meV/atom
E: -6.58 eV/atom
Density of states at the Fermi level: 2.49 states/eV/f.u.
Energy relative to the elements, uncorrected: 4.79 kJ per mole of atoms

```
data_CuMoAuN
_chemical_formula_sum 'Cu2 Mo2 Au2 N2'
_cell_length_a 5.2056
_cell_length_b 2.8430
_cell_length_c 7.1826
_cell_angle_alpha 90.00
_cell_angle_beta 95.09
_cell_angle_gamma 90.00
_symmetry_space_group_name_H-M 'C 1 m 1'
_symmetry_Int_Tables_number 8
_symmetry_space_group_name_Hall 'C -2y'
loop_
_atom_site_label
_atom_site_type_symbol
_atom_site_fract_x
_atom_site_fract_y
_atom_site_fract_z
Cu1 Cu 0.0000 0.0000 0.0000
Mo1 Mo 0.0923 0.0000 0.6261
Au1 Au 0.3763 0.0000 0.3002
N1 N 0.4275 0.0000 0.7938
```

***

# CuMoAuN

A geometry-optimized CuMoAuN structure (GGA-PBE, Alexandria via LeMat-Bulk).

Calculated values
Offset from the most stable computed form: 135 meV/atom
E: -6.47 eV/atom
Density of states at the Fermi level: 1.86 states/eV/f.u.
Energy relative to the elements, uncorrected: 16.03 kJ per mole of atoms

```
data_CuMoAuN
_chemical_formula_sum 'Cu2 Mo2 Au2 N2'
_cell_length_a 3.0168
_cell_length_b 3.1539
_cell_length_c 11.8490
_cell_angle_alpha 90.00
_cell_angle_beta 90.00
_cell_angle_gamma 90.00
_symmetry_space_group_name_H-M 'I m m 2'
_symmetry_Int_Tables_number 44
_symmetry_space_group_name_Hall 'I 2 -2'
loop_
_atom_site_label
_atom_site_type_symbol
_atom_site_fract_x
_atom_site_fract_y
_atom_site_fract_z
Cu1 Cu 0.0000 0.0000 0.0000
Mo1 Mo 0.0000 0.0000 0.7048
Au1 Au 0.0000 0.0000 0.3593
N1 N 0.0000 0.5000 0.6126
```

***

# CuMoAuN

A geometry-optimized CuMoAuN structure (GGA-PBE, Alexandria via LeMat-Bulk).

Calculated values
Offset from the most stable computed form: 47 meV/atom
E: -6.55 eV/atom
Density of states at the Fermi level: 2.24 states/eV/f.u.
Energy relative to the elements, uncorrected: 7.57 kJ per mole of atoms

```
data_CuMoAuN
_chemical_formula_sum 'Cu1 Mo1 Au1 N1'
_cell_length_a 2.8793
_cell_length_b 2.8793
_cell_length_c 6.6706
_cell_angle_alpha 90.00
_cell_angle_beta 90.00
_cell_angle_gamma 90.00
_symmetry_space_group_name_H-M 'P 4 m m'
_symmetry_Int_Tables_number 99
_symmetry_space_group_name_Hall 'P 4 -2'
loop_
_atom_site_label
_atom_site_type_symbol
_atom_site_fract_x
_atom_site_fract_y
_atom_site_fract_z
Cu1 Cu 0.0000 0.0000 0.0000
Mo1 Mo 0.5000 0.5000 0.2895
Au1 Au 0.5000 0.5000 0.7313
N1 N 0.0000 0.0000 0.3400
```

***

# NbCu2MoAu

A geometry-optimized NbCu2MoAu structure (GGA-PBE, Alexandria via LeMat-Bulk).

Calculated values
E: -5.00 eV/atom
DFT formation energy: 1473 meV/atom
Density of states at the Fermi level: 2.78 states/eV/f.u.

```
data_NbCu2MoAu
_chemical_formula_sum 'Nb1 Cu2 Mo1 Au1'
_cell_length_a 4.7474
_cell_length_b 4.7474
_cell_length_c 4.6199
_cell_angle_alpha 90.00
_cell_angle_beta 90.00
_cell_angle_gamma 90.00
_symmetry_space_group_name_H-M 'P 4/m m m'
_symmetry_Int_Tables_number 123
_symmetry_space_group_name_Hall '-P 4 2'
loop_
_atom_site_label
_atom_site_type_symbol
_atom_site_fract_x
_atom_site_fract_y
_atom_site_fract_z
Nb1 Nb 0.0000 0.0000 0.0000
Cu1 Cu 0.0000 0.5000 0.0000
Mo1 Mo 0.0000 0.0000 0.5000
Au1 Au 0.5000 0.5000 0.5000
```